## A
## ZrMnSe (SCAN)

Data for ZrMnSe at its PBEsol-relaxed geometry. Values from VASP.

Properties
Mass density in kg/m³: 7360

Quantum ESPRESSO input file:
```
&SYSTEM
  ibrav = 0, nat = 3, ntyp = 3
/
ATOMIC_SPECIES
Zr 91.22 Zr.upf
Mn 54.94 Mn.upf
Se 78.96 Se.upf
ATOMIC_POSITIONS angstrom
Zr 0.000 0.000 0.000
Mn 0.000 0.000 2.911
Se 0.000 0.000 6.108
CELL_PARAMETERS angstrom
-1.679 1.679 4.504
1.679 -1.679 4.504
1.679 1.679 -4.504
```

## B
## ZrMnSe (SCAN)

Data for ZrMnSe at its PBEsol-relaxed geometry. Values from VASP.

Properties
Mass density in kg/m³: 6157

Quantum ESPRESSO input file:
```
&SYSTEM
  ibrav = 0, nat = 3, ntyp = 3
/
ATOMIC_SPECIES
Zr 91.22 Zr.upf
Mn 54.94 Mn.upf
Se 78.96 Se.upf
ATOMIC_POSITIONS angstrom
Zr 0.000 0.000 0.000
Mn 4.679 4.679 4.679
Se 1.560 1.560 1.560
CELL_PARAMETERS angstrom
0.000 3.120 3.120
3.120 0.000 3.120
3.120 3.120 0.000
```

## C
## ZrMnSe (SCAN)

Data for ZrMnSe at its PBEsol-relaxed geometry. Values from VASP.

Properties
Mass density in kg/m³: 7535

Quantum ESPRESSO input file:
```
&SYSTEM
  ibrav = 0, nat = 3, ntyp = 3
/
ATOMIC_SPECIES
Zr 91.22 Zr.upf
Mn 54.94 Mn.upf
Se 78.96 Se.upf
ATOMIC_POSITIONS angstrom
Zr 0.000 0.000 0.000
Mn 1.458 1.458 1.458
Se 2.916 2.916 2.916
CELL_PARAMETERS angstrom
0.000 2.916 2.916
2.916 0.000 2.916
2.916 2.916 0.000
```

Which of them is the most stable, and which is the least stable? A and B, in that order.

## A
## ZrMnSe2 (SCAN)

Data for ZrMnSe2 at its PBEsol-relaxed geometry. Values from VASP.

Properties
Mass density in kg/m³: 6618

Quantum ESPRESSO input file:
```
&SYSTEM
  ibrav = 0, nat = 4, ntyp = 3
/
ATOMIC_SPECIES
Zr 91.22 Zr.upf
Mn 54.94 Mn.upf
Se 78.96 Se.upf
ATOMIC_POSITIONS angstrom
Zr 0.000 0.000 0.000
Mn 0.000 0.000 10.210
Se 0.000 0.000 5.011
Se 0.000 0.000 15.408
CELL_PARAMETERS angstrom
1.799 1.039 6.806
-1.799 1.039 6.806
0.000 -2.077 6.806
```

## B
## ZrMnSe2 (SCAN)

Data for ZrMnSe2 at its PBEsol-relaxed geometry. Values from VASP.

Properties
Mass density in kg/m³: 7102

Quantum ESPRESSO input file:
```
&SYSTEM
  ibrav = 0, nat = 4, ntyp = 3
/
ATOMIC_SPECIES
Zr 91.22 Zr.upf
Mn 54.94 Mn.upf
Se 78.96 Se.upf
ATOMIC_POSITIONS angstrom
Zr 0.000 0.000 0.000
Mn 0.000 0.000 3.235
Se 1.657 1.657 1.585
Se 1.657 1.657 4.885
CELL_PARAMETERS angstrom
3.315 0.000 0.000
0.000 3.315 0.000
0.000 0.000 6.471
```

Which of them is the most stable, and which is the least stable? A and B, in that order.

## A
## Ta2MnSi (SCAN)

Data for Ta2MnSi at its PBEsol-relaxed geometry. Values from VASP.

Properties
Mass density in kg/m³: 12584

Quantum ESPRESSO input file:
```
&SYSTEM
  ibrav = 0, nat = 4, ntyp = 3
/
ATOMIC_SPECIES
Ta 180.95 Ta.upf
Mn 54.94 Mn.upf
Si 28.09 Si.upf
ATOMIC_POSITIONS angstrom
Ta 0.000 0.000 0.000
Ta 1.942 0.000 2.798
Mn 0.000 0.000 6.951
Si 1.942 0.000 5.440
CELL_PARAMETERS angstrom
3.883 0.000 0.000
0.000 1.598 4.730
0.000 -1.598 4.730
```

## B
## Ta2MnSi (SCAN)

Data for Ta2MnSi at its PBEsol-relaxed geometry. Values from VASP.

Properties
Mass density in kg/m³: 12414

Quantum ESPRESSO input file:
```
&SYSTEM
  ibrav = 0, nat = 4, ntyp = 3
/
ATOMIC_SPECIES
Ta 180.95 Ta.upf
Mn 54.94 Mn.upf
Si 28.09 Si.upf
ATOMIC_POSITIONS angstrom
Ta 0.000 0.000 1.920
Ta 0.000 0.000 5.787
Mn 1.389 1.389 3.854
Si 1.389 1.389 0.000
CELL_PARAMETERS angstrom
2.779 0.000 0.000
0.000 2.779 0.000
0.000 0.000 7.708
```

## C
## Ta2MnSi (SCAN)

Data for Ta2MnSi at its PBEsol-relaxed geometry. Values from VASP.

Properties
Mass density in kg/m³: 12676

Quantum ESPRESSO input file:
```
&SYSTEM
  ibrav = 0, nat = 4, ntyp = 3
/
ATOMIC_SPECIES
Ta 180.95 Ta.upf
Mn 54.94 Mn.upf
Si 28.09 Si.upf
ATOMIC_POSITIONS angstrom
Ta 1.362 1.778 0.000
Ta 1.362 -1.778 0.000
Mn 0.000 0.000 1.504
Si 2.725 0.000 1.504
CELL_PARAMETERS angstrom
2.725 -3.556 0.000
2.725 3.556 0.000
0.000 0.000 3.007
```

## D
## Ta2MnSi (SCAN)

Data for Ta2MnSi at its PBEsol-relaxed geometry. Values from VASP.

Properties
Mass density in kg/m³: 12583

Quantum ESPRESSO input file:
```
&SYSTEM
  ibrav = 0, nat = 4, ntyp = 3
/
ATOMIC_SPECIES
Ta 180.95 Ta.upf
Mn 54.94 Mn.upf
Si 28.09 Si.upf
ATOMIC_POSITIONS angstrom
Ta 2.001 0.000 1.832
Ta 0.000 2.001 1.832
Mn 0.000 0.000 0.000
Si 0.000 0.000 3.665
CELL_PARAMETERS angstrom
-2.001 2.001 3.665
2.001 -2.001 3.665
2.001 2.001 -3.665
```

Which of them is the most stable, and which is the least stable? A and B, in that order.

## A
## MnSiTc3 (SCAN)

Data for MnSiTc3 at its PBEsol-relaxed geometry. Values from VASP.

Properties
Mass density in kg/m³: 7679

Quantum ESPRESSO input file:
```
&SYSTEM
  ibrav = 0, nat = 5, ntyp = 3
/
ATOMIC_SPECIES
Mn 54.94 Mn.upf
Si 28.09 Si.upf
Tc 98.00 Tc.upf
ATOMIC_POSITIONS angstrom
Mn 0.000 0.000 0.000
Si 2.168 2.168 2.168
Tc 0.000 2.168 2.168
Tc 2.168 0.000 2.168
Tc 2.168 2.168 0.000
CELL_PARAMETERS angstrom
4.336 0.000 0.000
0.000 4.336 0.000
0.000 0.000 4.336
```

## B
## MnSiTc3 (SCAN)

Data for MnSiTc3 at its PBEsol-relaxed geometry. Values from VASP.

Properties
Mass density in kg/m³: 7816

Quantum ESPRESSO input file:
```
&SYSTEM
  ibrav = 0, nat = 5, ntyp = 3
/
ATOMIC_SPECIES
Mn 54.94 Mn.upf
Si 28.09 Si.upf
Tc 98.00 Tc.upf
ATOMIC_POSITIONS angstrom
Mn 0.000 0.000 0.000
Si 2.155 2.155 2.155
Tc 0.000 0.000 2.155
Tc 0.000 2.155 0.000
Tc 2.155 0.000 0.000
CELL_PARAMETERS angstrom
4.311 0.000 0.000
0.000 4.311 0.000
0.000 0.000 4.311
```

Which of them is the most stable, and which is the least stable? A and B, in that order.

## A
## Sr2MnW (SCAN)

Data for Sr2MnW at its PBEsol-relaxed geometry. Values from VASP.

Properties
Mass density in kg/m³: 7138

Quantum ESPRESSO input file:
```
&SYSTEM
  ibrav = 0, nat = 4, ntyp = 3
/
ATOMIC_SPECIES
Sr 87.62 Sr.upf
Mn 54.94 Mn.upf
W 183.84 W.upf
ATOMIC_POSITIONS angstrom
Sr 2.202 0.000 2.483
Sr 0.000 2.202 2.483
Mn 0.000 0.000 0.000
W 0.000 0.000 4.966
CELL_PARAMETERS angstrom
-2.202 2.202 4.966
2.202 -2.202 4.966
2.202 2.202 -4.966
```

## B
## Sr2MnW (SCAN)

Data for Sr2MnW at its PBEsol-relaxed geometry. Values from VASP.

Properties
Mass density in kg/m³: 6672

Quantum ESPRESSO input file:
```
&SYSTEM
  ibrav = 0, nat = 4, ntyp = 3
/
ATOMIC_SPECIES
Sr 87.62 Sr.upf
Mn 54.94 Mn.upf
W 183.84 W.upf
ATOMIC_POSITIONS angstrom
Sr 0.000 0.000 0.000
Sr 1.659 1.659 3.745
Mn 1.659 1.659 6.910
W 0.000 0.000 6.240
CELL_PARAMETERS angstrom
3.318 0.000 0.000
0.000 3.318 0.000
0.000 0.000 9.357
```

Which of them is the most stable, and which is the least stable? B and A, in that order.

## A
## Sr2MnW (SCAN)

Data for Sr2MnW at its PBEsol-relaxed geometry. Values from VASP.

Properties
Mass density in kg/m³: 6361

Quantum ESPRESSO input file:
```
&SYSTEM
  ibrav = 0, nat = 4, ntyp = 3
/
ATOMIC_SPECIES
Sr 87.62 Sr.upf
Mn 54.94 Mn.upf
W 183.84 W.upf
ATOMIC_POSITIONS angstrom
Sr 0.000 0.000 2.700
Sr 0.000 0.000 15.413
Mn 1.644 0.000 0.000
W 0.000 1.815 0.000
CELL_PARAMETERS angstrom
-1.644 1.815 9.056
1.644 -1.815 9.056
1.644 1.815 -9.056
```

## B
## Sr2MnW (SCAN)

Data for Sr2MnW at its PBEsol-relaxed geometry. Values from VASP.

Properties
Mass density in kg/m³: 7316

Quantum ESPRESSO input file:
```
&SYSTEM
  ibrav = 0, nat = 4, ntyp = 3
/
ATOMIC_SPECIES
Sr 87.62 Sr.upf
Mn 54.94 Mn.upf
W 183.84 W.upf
ATOMIC_POSITIONS angstrom
Sr 0.000 2.171 0.000
Sr 2.171 0.000 0.000
Mn 0.000 0.000 2.493
W 2.171 2.171 2.493
CELL_PARAMETERS angstrom
4.341 0.000 0.000
0.000 4.341 0.000
0.000 0.000 4.986
```

Which of them is the most stable, and which is the least stable? A and B, in that order.

## A
## SrMn2W (SCAN)

Data for SrMn2W at its PBEsol-relaxed geometry. Values from VASP.

Properties
Mass density in kg/m³: 9734

Quantum ESPRESSO input file:
```
&SYSTEM
  ibrav = 0, nat = 4, ntyp = 3
/
ATOMIC_SPECIES
Sr 87.62 Sr.upf
Mn 54.94 Mn.upf
W 183.84 W.upf
ATOMIC_POSITIONS angstrom
Sr 0.000 0.000 0.000
Mn 1.364 0.000 2.756
Mn 0.000 0.000 4.582
W 0.000 2.410 2.022
CELL_PARAMETERS angstrom
-1.364 2.410 4.948
1.364 -2.410 4.948
1.364 2.410 -4.948
```

## B
## SrMn2W (SCAN)

Data for SrMn2W at its PBEsol-relaxed geometry. Values from VASP.

Properties
Mass density in kg/m³: 8073

Quantum ESPRESSO input file:
```
&SYSTEM
  ibrav = 0, nat = 4, ntyp = 3
/
ATOMIC_SPECIES
Sr 87.62 Sr.upf
Mn 54.94 Mn.upf
W 183.84 W.upf
ATOMIC_POSITIONS angstrom
Sr 0.000 0.000 0.000
Mn 1.260 0.000 4.044
Mn 5.967 0.000 2.277
W 3.613 0.000 3.160
CELL_PARAMETERS angstrom
4.082 -1.520 0.000
4.082 1.520 0.000
-0.938 0.000 6.321
```

Which of them is the most stable, and which is the least stable? B and A, in that order.

## A
## SrY2Mn (SCAN)

Data for SrY2Mn at its PBEsol-relaxed geometry. Values from VASP.

Properties
Mass density in kg/m³: 4526

Quantum ESPRESSO input file:
```
&SYSTEM
  ibrav = 0, nat = 4, ntyp = 3
/
ATOMIC_SPECIES
Sr 87.62 Sr.upf
Y 88.91 Y.upf
Mn 54.94 Mn.upf
ATOMIC_POSITIONS angstrom
Sr 0.000 0.000 0.000
Y 1.804 0.000 3.382
Y 0.000 2.852 2.329
Mn 0.000 0.000 5.711
CELL_PARAMETERS angstrom
-1.804 2.852 5.711
1.804 -2.852 5.711
1.804 2.852 -5.711
```

## B
## SrY2Mn (SCAN)

Data for SrY2Mn at its PBEsol-relaxed geometry. Values from VASP.

Properties
Mass density in kg/m³: 4545

Quantum ESPRESSO input file:
```
&SYSTEM
  ibrav = 0, nat = 4, ntyp = 3
/
ATOMIC_SPECIES
Sr 87.62 Sr.upf
Y 88.91 Y.upf
Mn 54.94 Mn.upf
ATOMIC_POSITIONS angstrom
Sr 0.000 0.000 0.000
Y 1.751 1.751 3.127
Y 1.751 1.751 6.416
Mn 0.000 0.000 4.771
CELL_PARAMETERS angstrom
3.502 0.000 0.000
0.000 3.502 0.000
0.000 0.000 9.543
```

## C
## SrY2Mn (SCAN)

Data for SrY2Mn at its PBEsol-relaxed geometry. Values from VASP.

Properties
Mass density in kg/m³: 4630

Quantum ESPRESSO input file:
```
&SYSTEM
  ibrav = 0, nat = 4, ntyp = 3
/
ATOMIC_SPECIES
Sr 87.62 Sr.upf
Y 88.91 Y.upf
Mn 54.94 Mn.upf
ATOMIC_POSITIONS angstrom
Sr 0.000 0.000 0.000
Y 0.000 2.390 2.515
Y 2.390 0.000 2.515
Mn 2.390 2.390 0.000
CELL_PARAMETERS angstrom
4.780 0.000 0.000
0.000 4.780 0.000
0.000 0.000 5.029
```

Which of them is the most stable, and which is the least stable? B and C, in that order.

## A
## Sr2YMn (SCAN)

Data for Sr2YMn at its PBEsol-relaxed geometry. Values from VASP.

Properties
Mass density in kg/m³: 4132

Quantum ESPRESSO input file:
```
&SYSTEM
  ibrav = 0, nat = 4, ntyp = 3
/
ATOMIC_SPECIES
Sr 87.62 Sr.upf
Y 88.91 Y.upf
Mn 54.94 Mn.upf
ATOMIC_POSITIONS angstrom
Sr 0.000 0.000 0.000
Sr 2.001 2.001 2.001
Y 6.004 6.004 6.004
Mn 4.002 4.002 4.002
CELL_PARAMETERS angstrom
0.000 4.002 4.002
4.002 0.000 4.002
4.002 4.002 0.000
```

## B
## Sr2YMn (SCAN)

Data for Sr2YMn at its PBEsol-relaxed geometry. Values from VASP.

Properties
Mass density in kg/m³: 4093

Quantum ESPRESSO input file:
```
&SYSTEM
  ibrav = 0, nat = 4, ntyp = 3
/
ATOMIC_SPECIES
Sr 87.62 Sr.upf
Y 88.91 Y.upf
Mn 54.94 Mn.upf
ATOMIC_POSITIONS angstrom
Sr 0.000 0.000 2.476
Sr 0.000 0.000 9.761
Y 0.000 2.765 0.000
Mn 1.913 0.000 0.000
CELL_PARAMETERS angstrom
-1.913 2.765 6.119
1.913 -2.765 6.119
1.913 2.765 -6.119
```

## C
## Sr2YMn (SCAN)

Data for Sr2YMn at its PBEsol-relaxed geometry. Values from VASP.

Properties
Mass density in kg/m³: 3985

Quantum ESPRESSO input file:
```
&SYSTEM
  ibrav = 0, nat = 4, ntyp = 3
/
ATOMIC_SPECIES
Sr 87.62 Sr.upf
Y 88.91 Y.upf
Mn 54.94 Mn.upf
ATOMIC_POSITIONS angstrom
Sr 0.000 0.000 1.889
Sr 0.000 0.000 7.327
Y 1.899 1.899 4.608
Mn 1.899 1.899 0.000
CELL_PARAMETERS angstrom
3.798 0.000 0.000
0.000 3.798 0.000
0.000 0.000 9.216
```

## D
## Sr2YMn (SCAN)

Data for Sr2YMn at its PBEsol-relaxed geometry. Values from VASP.

Properties
Mass density in kg/m³: 3985

Quantum ESPRESSO input file:
```
&SYSTEM
  ibrav = 0, nat = 4, ntyp = 3
/
ATOMIC_SPECIES
Sr 87.62 Sr.upf
Y 88.91 Y.upf
Mn 54.94 Mn.upf
ATOMIC_POSITIONS angstrom
Sr 2.025 2.025 2.025
Sr 6.076 6.076 6.076
Y 0.000 0.000 0.000
Mn 4.051 4.051 4.051
CELL_PARAMETERS angstrom
0.000 4.051 4.051
4.051 0.000 4.051
4.051 4.051 0.000
```

Which of them is the most stable, and which is the least stable? C and D, in that order.

## A
## Sr2ZrMn (SCAN)

Data for Sr2ZrMn at its PBEsol-relaxed geometry. Values from VASP.

Properties
Mass density in kg/m³: 4714

Quantum ESPRESSO input file:
```
&SYSTEM
  ibrav = 0, nat = 4, ntyp = 3
/
ATOMIC_SPECIES
Sr 87.62 Sr.upf
Zr 91.22 Zr.upf
Mn 54.94 Mn.upf
ATOMIC_POSITIONS angstrom
Sr 0.000 2.330 0.000
Sr 2.330 0.000 0.000
Zr 0.000 0.000 2.607
Mn 2.330 2.330 2.607
CELL_PARAMETERS angstrom
4.660 0.000 0.000
0.000 4.660 0.000
0.000 0.000 5.213
```

## B
## Sr2ZrMn (SCAN)

Data for Sr2ZrMn at its PBEsol-relaxed geometry. Values from VASP.

Properties
Mass density in kg/m³: 4566

Quantum ESPRESSO input file:
```
&SYSTEM
  ibrav = 0, nat = 4, ntyp = 3
/
ATOMIC_SPECIES
Sr 87.62 Sr.upf
Zr 91.22 Zr.upf
Mn 54.94 Mn.upf
ATOMIC_POSITIONS angstrom
Sr 0.000 0.000 0.000
Sr 0.000 2.937 2.168
Zr 1.788 0.000 3.382
Mn 0.000 0.000 5.093
CELL_PARAMETERS angstrom
-1.788 2.937 5.563
1.788 -2.937 5.563
1.788 2.937 -5.563
```

Which of them is the most stable, and which is the least stable? B and A, in that order.

## A
## SrZrMn2 (SCAN)

Data for SrZrMn2 at its PBEsol-relaxed geometry. Values from VASP.

Properties
Mass density in kg/m³: 5999

Quantum ESPRESSO input file:
```
&SYSTEM
  ibrav = 0, nat = 4, ntyp = 3
/
ATOMIC_SPECIES
Sr 87.62 Sr.upf
Zr 91.22 Zr.upf
Mn 54.94 Mn.upf
ATOMIC_POSITIONS angstrom
Sr 0.000 0.000 0.000
Zr 5.128 5.128 5.128
Mn 1.709 1.709 1.709
Mn 3.419 3.419 3.419
CELL_PARAMETERS angstrom
0.000 3.419 3.419
3.419 0.000 3.419
3.419 3.419 0.000
```

## B
## SrZrMn2 (SCAN)

Data for SrZrMn2 at its PBEsol-relaxed geometry. Values from VASP.

Properties
Mass density in kg/m³: 5703

Quantum ESPRESSO input file:
```
&SYSTEM
  ibrav = 0, nat = 4, ntyp = 3
/
ATOMIC_SPECIES
Sr 87.62 Sr.upf
Zr 91.22 Zr.upf
Mn 54.94 Mn.upf
ATOMIC_POSITIONS angstrom
Sr 0.000 0.000 0.000
Zr 0.000 0.000 3.383
Mn 1.762 1.762 2.384
Mn 1.762 1.762 4.382
CELL_PARAMETERS angstrom
3.525 0.000 0.000
0.000 3.525 0.000
0.000 0.000 6.766
```

Which of them is the most stable, and which is the least stable? A and B, in that order.

## A
## Ta5Mn (SCAN)

Data for Ta5Mn at its PBEsol-relaxed geometry. Values from VASP.

Properties
Mass density in kg/m³: 16184

Quantum ESPRESSO input file:
```
&SYSTEM
  ibrav = 0, nat = 6, ntyp = 2
/
ATOMIC_SPECIES
Ta 180.95 Ta.upf
Mn 54.94 Mn.upf
ATOMIC_POSITIONS angstrom
Ta 0.000 0.000 0.000
Ta 1.599 4.597 2.304
Ta 1.599 2.226 0.000
Ta 1.599 -2.226 0.000
Ta 1.599 -4.597 2.304
Mn 1.599 0.000 2.304
CELL_PARAMETERS angstrom
1.599 -6.682 0.000
1.599 6.682 0.000
0.000 0.000 4.609
```

## B
## Ta5Mn (SCAN)

Data for Ta5Mn at its PBEsol-relaxed geometry. Values from VASP.

Properties
Mass density in kg/m³: 16186

Quantum ESPRESSO input file:
```
&SYSTEM
  ibrav = 0, nat = 6, ntyp = 2
/
ATOMIC_SPECIES
Ta 180.95 Ta.upf
Mn 54.94 Mn.upf
ATOMIC_POSITIONS angstrom
Ta 0.000 0.000 0.000
Ta 0.000 0.000 3.436
Ta 0.000 0.000 6.390
Ta 1.583 1.583 1.692
Ta 1.583 1.583 8.134
Mn 1.583 1.583 4.913
CELL_PARAMETERS angstrom
3.165 0.000 0.000
0.000 3.165 0.000
0.000 0.000 9.826
```

Which of them is the most stable, and which is the least stable? B and A, in that order.